1.
# LiTeWI2, optimized geometry, DFT GGA-PBE
data_LiTeWI2
_chemical_formula_sum 'Li1 Te1 W1 I2'
_space_group_name_H-M_alt 'P 1'
_space_group_IT_number 1
_cell_length_a 5.863
_cell_length_b 5.863
_cell_length_c 5.236
_cell_angle_alpha 90.00
_cell_angle_beta 90.00
_cell_angle_gamma 90.00
loop_
_space_group_symop_operation_xyz
'x,y,z'
loop_
_atom_site_label
_atom_site_fract_x
_atom_site_fract_y
_atom_site_fract_z
Te1 0.000 0.000 0.500
I1 0.000 0.500 0.000
W1 0.000 0.000 0.000
Li1 0.500 0.500 0.500
I2 0.500 0.000 0.000
# space group: P4/mmm
# raw formation energy: 0.296 eV per atom
# E above lowest polymorph: 0 meV per atom

***

2.
# RbNbFeTePd, optimized geometry, DFT GGA-PBE
data_RbNbFeTePd
_chemical_formula_sum 'Rb3 Nb3 Fe3 Te3 Pd3'
_space_group_name_H-M_alt 'P 1'
_space_group_IT_number 1
_cell_length_a 4.022
_cell_length_b 4.022
_cell_length_c 26.551
_cell_angle_alpha 90.00
_cell_angle_beta 90.00
_cell_angle_gamma 120.00
loop_
_space_group_symop_operation_xyz
'x,y,z'
loop_
_atom_site_label
_atom_site_fract_x
_atom_site_fract_y
_atom_site_fract_z
Rb1 0.667 0.333 0.279
Nb1 0.000 0.000 0.765
Fe1 0.667 0.333 0.804
Rb2 0.000 0.000 0.946
Pd1 0.667 0.333 0.707
Te1 0.333 0.667 0.839
Rb3 0.333 0.667 0.613
Fe2 0.000 0.000 0.471
Pd2 0.000 0.000 0.374
Pd3 0.333 0.667 0.040
Te2 0.000 0.000 0.173
Fe3 0.333 0.667 0.137
Te3 0.667 0.333 0.506
Nb2 0.667 0.333 0.098
Nb3 0.333 0.667 0.432
# space group: R3m
# raw formation energy: -0.030 eV per atom
# E above lowest polymorph: 0 meV per atom

***

3.
# MnSbP2, optimized geometry, DFT GGA-PBE
data_MnSbP2
_chemical_formula_sum 'Mn1 Sb1 P2'
_space_group_name_H-M_alt 'P 1'
_space_group_IT_number 1
_cell_length_a 3.044
_cell_length_b 3.044
_cell_length_c 7.415
_cell_angle_alpha 90.00
_cell_angle_beta 90.00
_cell_angle_gamma 90.00
loop_
_space_group_symop_operation_xyz
'x,y,z'
loop_
_atom_site_label
_atom_site_fract_x
_atom_site_fract_y
_atom_site_fract_z
P1 0.500 0.500 0.142
P2 0.000 0.000 0.967
Mn1 0.500 0.500 0.825
Sb1 0.000 0.000 0.567
# space group: P4mm
# raw formation energy: 0.117 eV per atom

***

4.
# ScCr2Au, optimized geometry, DFT GGA-PBE
data_ScCr2Au
_chemical_formula_sum 'Sc1 Cr2 Au1'
_space_group_name_H-M_alt 'P 1'
_space_group_IT_number 1
_cell_length_a 8.596
_cell_length_b 8.596
_cell_length_c 8.596
_cell_angle_alpha 19.83
_cell_angle_beta 19.83
_cell_angle_gamma 19.83
loop_
_space_group_symop_operation_xyz
'x,y,z'
loop_
_atom_site_label
_atom_site_fract_x
_atom_site_fract_y
_atom_site_fract_z
Cr1 0.262 0.262 0.262
Sc1 0.506 0.506 0.506
Au1 0.744 0.744 0.744
Cr2 0.988 0.988 0.988
# calculated formation energy: 23.1 kJ/mol of atoms
# space group: R3m
# E above lowest polymorph: 284 meV per atom

***

5.
# Y2Ge3Pt5, optimized geometry, DFT GGA-PBE
data_Y2Ge3Pt5
_chemical_formula_sum 'Y4 Ge6 Pt10'
_space_group_name_H-M_alt 'P 1'
_space_group_IT_number 1
_cell_length_a 4.294
_cell_length_b 6.869
_cell_length_c 12.396
_cell_angle_alpha 90.00
_cell_angle_beta 99.97
_cell_angle_gamma 90.00
loop_
_space_group_symop_operation_xyz
'x,y,z'
loop_
_atom_site_label
_atom_site_fract_x
_atom_site_fract_y
_atom_site_fract_z
Pt1 0.407 0.325 0.814
Pt2 0.274 0.003 0.549
Pt3 0.593 0.825 0.186
Ge1 0.952 0.428 0.903
Ge2 0.377 0.961 0.755
Ge3 0.227 0.314 0.453
Pt4 0.949 0.051 0.897
Y1 0.826 0.261 0.652
Pt5 0.726 0.503 0.451
Pt6 0.875 0.726 0.751
Ge4 0.048 0.928 0.097
Y2 0.174 0.761 0.348
Ge5 0.623 0.461 0.245
Y3 0.526 0.220 0.051
Y4 0.474 0.720 0.949
Pt7 0.051 0.551 0.103
Pt8 0.125 0.226 0.249
Pt9 0.692 0.077 0.385
Pt10 0.308 0.577 0.615
Ge6 0.773 0.814 0.547
# calculated formation energy: -84.6 kJ/mol of atoms
# space group: Cmc2_1
# E above lowest polymorph: 9 meV per atom

***

6.
# LaTb2P, optimized geometry, DFT GGA-PBE
data_LaTb2P
_chemical_formula_sum 'La1 Tb2 P1'
_space_group_name_H-M_alt 'P 1'
_space_group_IT_number 1
_cell_length_a 3.767
_cell_length_b 3.767
_cell_length_c 10.632
_cell_angle_alpha 79.80
_cell_angle_beta 79.80
_cell_angle_gamma 60.00
loop_
_space_group_symop_operation_xyz
'x,y,z'
loop_
_atom_site_label
_atom_site_fract_x
_atom_site_fract_y
_atom_site_fract_z
P1 0.500 0.500 0.500
La1 0.000 0.000 0.000
Tb1 0.886 0.886 0.343
Tb2 0.114 0.114 0.657
# calculated formation energy: -55.3 kJ/mol of atoms
# space group: R-3m

***

Number 1: total energy -19.63 eV/cell, total moment 2.609 Bohr magnetons per cell. Number 2: total energy -83.96 eV/cell, total moment 0.001 Bohr magnetons per cell. Number 3: total energy -23.65 eV/cell, total moment 1.075 Bohr magnetons per cell. Number 4: total energy -27.90 eV/cell, total moment 0.001 Bohr magnetons per cell. Number 5: total energy -131.50 eV/cell, total moment 0.000 Bohr magnetons per cell. Number 6: total energy -21.89 eV/cell, total moment 0.454 Bohr magnetons per cell.